VASP calculation (PBE) on HoTm3Mg8 after structural relaxation.

## Properties
formation energy from the elements	-0.67	eV/f.u.
V	305.1	Å³/cell
total DFT energy (no corrections)	-2.618	eV per atom
SG	P3m1 (156)
calculated density	4.71	g/cm³

Lattice parameters (Å, degrees): 6.028 6.028 9.696 90.00 90.00 120.00
Fractional positions:
Mg (0.333, 0.667, 0.000)
Mg (0.504, 0.496, 0.750)
Ho (0.000, 0.000, 0.564)
Mg (0.163, 0.837, 0.250)
Tm (0.667, 0.333, 0.436)
Mg (0.991, 0.496, 0.750)
Mg (0.163, 0.325, 0.250)
Tm (0.667, 0.333, 0.063)
Mg (0.675, 0.837, 0.250)
Mg (0.504, 0.009, 0.750)
Tm (0.000, 0.000, 0.937)
Mg (0.333, 0.667, 0.500)



VASP calculation (PBE) on Ho2Tm3Mg2 after structural relaxation.

## Properties
formation energy from the elements	0.30	eV/f.u.
V	201.9	Å³/cell
total DFT energy (no corrections)	-3.638	eV per atom
SG	Cmmm (65)
calculated density	7.28	g/cm³

Lattice parameters (Å, degrees): 5.212 3.419 11.627 90.00 77.05 90.00
Fractional positions:
Tm (0.000, 0.000, 0.000)
Tm (0.150, 0.000, 0.700)
Tm (0.850, 0.000, 0.300)
Mg (0.569, 0.500, 0.863)
Ho (0.711, 0.500, 0.577)
Ho (0.289, 0.500, 0.423)
Mg (0.431, 0.500, 0.137)



VASP calculation (PBE) on Ho2TmMg after structural relaxation.

## Properties
offset from the most stable computed form	0.049	eV/atom
formation energy from the elements	0.09	eV/f.u.
V	117.1	Å³/cell
total DFT energy (no corrections)	-3.784	eV per atom
SG	R-3m (166)
calculated density	7.42	g/cm³

Lattice parameters (Å, degrees): 3.485 3.485 11.310 81.14 81.14 60.00
Fractional positions:
Tm (0.500, 0.500, 0.500)
Ho (0.252, 0.252, 0.244)
Ho (0.748, 0.748, 0.756)
Mg (0.000, 0.000, 0.000)



VASP calculation (PBE) on Ho3TmMg6 after structural relaxation.

## Properties
formation energy from the elements	-0.55	eV/f.u.
V	521.5	Å³/cell
total DFT energy (no corrections)	-2.832	eV per atom
SG	P2_1/m (11)
calculated density	5.16	g/cm³

Lattice parameters (Å, degrees): 5.248 9.217 11.191 105.54 90.00 90.00
Fractional positions:
Ho (0.750, 0.456, 0.602)
Mg (0.250, 0.663, 0.706)
Mg (0.250, 0.145, 0.194)
Mg (0.750, 0.558, 0.899)
Mg (0.250, 0.046, 0.899)
Tm (0.250, 0.951, 0.599)
Mg (0.750, 0.143, 0.698)
Ho (0.250, 0.748, 0.005)
Tm (0.750, 0.049, 0.401)
Mg (0.750, 0.757, 0.509)
Mg (0.750, 0.954, 0.101)
Ho (0.750, 0.648, 0.204)
Mg (0.250, 0.243, 0.491)
Ho (0.750, 0.252, 0.995)
Mg (0.250, 0.857, 0.302)
Ho (0.250, 0.352, 0.796)
Mg (0.750, 0.337, 0.294)
Mg (0.250, 0.442, 0.101)
Mg (0.750, 0.855, 0.806)
Ho (0.250, 0.544, 0.398)



VASP calculation (PBE) on Ho12Tm7Mg after structural relaxation.

## Properties
offset from the most stable computed form	0.609	eV/atom
formation energy from the elements	16.60	eV/f.u.
V	836.3	Å³/cell
total DFT energy (no corrections)	-3.561	eV per atom
SG	Im-3 (204)
calculated density	6.33	g/cm³

Lattice parameters (Å, degrees): 10.280 10.280 10.280 109.47 109.47 109.47
Fractional positions:
Ho (0.617, 0.356, 0.260)
Ho (0.644, 0.260, 0.904)
Mg (0.000, 0.000, 0.000)
Ho (0.740, 0.383, 0.644)
Tm (0.500, 0.500, 0.500)
Ho (0.096, 0.356, 0.740)
Ho (0.644, 0.740, 0.383)
Ho (0.356, 0.260, 0.617)
Ho (0.383, 0.644, 0.740)
Tm (0.000, 0.000, 0.500)
Tm (0.000, 0.500, 0.000)
Tm (0.500, 0.500, 0.000)
Ho (0.740, 0.096, 0.356)
Tm (0.500, 0.000, 0.000)
Ho (0.356, 0.740, 0.096)
Tm (0.000, 0.500, 0.500)
Tm (0.500, 0.000, 0.500)
Ho (0.260, 0.904, 0.644)
Ho (0.904, 0.644, 0.260)
Ho (0.260, 0.617, 0.356)



VASP calculation (PBE) on Ho2Tm2Mg after structural relaxation.

## Properties
offset from the most stable computed form	0.224	eV/atom
formation energy from the elements	1.07	eV/f.u.
V	317.9	Å³/cell
total DFT energy (no corrections)	-3.724	eV per atom
SG	I4_1/amd (141)
calculated density	7.23	g/cm³

Lattice parameters (Å, degrees): 5.051 5.051 12.963 101.23 101.23 90.00
Fractional positions:
Tm (0.330, 0.330, 0.660)
Ho (0.925, 0.425, 0.850)
Tm (0.080, 0.580, 0.160)
Ho (0.825, 0.825, 0.650)
Tm (0.420, 0.920, 0.840)
Mg (0.250, 0.750, 0.500)
Mg (0.500, 0.500, 0.000)
Ho (0.175, 0.175, 0.350)
Ho (0.575, 0.075, 0.150)
Tm (0.670, 0.670, 0.340)



VASP calculation (PBE) on Ho2Tm7Mg after structural relaxation.

## Properties
formation energy from the elements	7.00	eV/f.u.
V	367.8	Å³/cell
total DFT energy (no corrections)	-3.505	eV per atom
SG	Cmmm (65)
calculated density	6.94	g/cm³

Lattice parameters (Å, degrees): 5.253 9.210 9.210 124.37 90.00 90.00
Fractional positions:
Tm (0.500, 0.285, 0.071)
Tm (0.500, 0.071, 0.285)
Ho (0.500, 0.705, 0.295)
Tm (0.500, 0.929, 0.715)
Tm (0.500, 0.500, 0.500)
Mg (0.000, 0.000, 0.000)
Ho (0.500, 0.295, 0.705)
Tm (0.000, 0.801, 0.199)
Tm (0.000, 0.199, 0.801)
Tm (0.500, 0.715, 0.929)



VASP calculation (PBE) on Ho7Tm4Mg after structural relaxation.

## Properties
offset from the most stable computed form	0.186	eV/atom
formation energy from the elements	3.36	eV/f.u.
V	379.6	Å³/cell
total DFT energy (no corrections)	-4.014	eV per atom
SG	C2/m (12)
calculated density	8.11	g/cm³

Lattice parameters (Å, degrees): 5.737 6.565 11.581 81.28 75.65 64.10
Fractional positions:
Ho (0.904, 0.914, 0.278)
Mg (0.000, 0.000, 0.000)
Ho (0.798, 0.484, 0.921)
Ho (0.367, 0.790, 0.477)
Tm (0.371, 0.485, 0.773)
Ho (0.202, 0.516, 0.079)
Tm (0.147, 0.332, 0.373)
Ho (0.500, 0.000, 0.000)
Ho (0.633, 0.210, 0.523)
Ho (0.096, 0.086, 0.722)
Tm (0.853, 0.668, 0.627)
Tm (0.629, 0.515, 0.227)



VASP calculation (PBE) on Ho2TmMg9 after structural relaxation.

## Properties
offset from the most stable computed form	0.000	eV/atom
formation energy from the elements	-0.61	eV/f.u.
V	300.7	Å³/cell
total DFT energy (no corrections)	-2.382	eV per atom
SG	P4/mmm (123)
calculated density	3.96	g/cm³

Lattice parameters (Å, degrees): 4.648 4.648 13.917 90.00 90.00 90.00
Fractional positions:
Mg (0.500, 0.000, 0.500)
Mg (0.500, 0.500, 0.333)
Ho (0.000, 0.000, 0.667)
Mg (0.500, 0.500, 0.667)
Mg (0.000, 0.500, 0.834)
Mg (0.500, 0.000, 0.166)
Tm (0.000, 0.000, 0.000)
Ho (0.000, 0.000, 0.333)
Mg (0.500, 0.000, 0.834)
Mg (0.000, 0.500, 0.166)
Mg (0.500, 0.500, 0.000)
Mg (0.000, 0.500, 0.500)



VASP calculation (PBE) on Ho2TmMg after structural relaxation.

## Properties
offset from the most stable computed form	0.070	eV/atom
formation energy from the elements	0.17	eV/f.u.
V	114.6	Å³/cell
total DFT energy (no corrections)	-3.763	eV per atom
SG	Fm-3m (225)
calculated density	7.58	g/cm³

Lattice parameters (Å, degrees): 5.453 5.453 5.453 60.00 60.00 60.00
Fractional positions:
Ho (0.750, 0.750, 0.750)
Tm (0.000, 0.000, 0.000)
Mg (0.500, 0.500, 0.500)
Ho (0.250, 0.250, 0.250)



VASP calculation (PBE) on Ho7Tm3Mg2 after structural relaxation.

## Properties
formation energy from the elements	1.23	eV/f.u.
V	363.4	Å³/cell
total DFT energy (no corrections)	-3.952	eV per atom
SG	P2/m (10)
calculated density	7.81	g/cm³

Lattice parameters (Å, degrees): 3.515 5.665 18.790 103.80 90.00 90.00
Fractional positions:
Ho (0.500, 0.719, 0.461)
Tm (0.500, 0.500, 0.000)
Ho (0.000, 0.000, 0.000)
Ho (0.000, 0.475, 0.147)
Tm (0.000, 0.148, 0.369)
Ho (0.000, 0.525, 0.853)
Ho (0.500, 0.281, 0.539)
Ho (0.500, 0.996, 0.172)
Mg (0.500, 0.408, 0.706)
Mg (0.500, 0.592, 0.294)
Tm (0.000, 0.852, 0.631)
Ho (0.500, 0.004, 0.828)